Entry 1:
# PBE-GGA SnN, optimized geometry
# Formation energy from raw total energies, meV per atom: 303
# Energy, eV/cell: -70.3
data_SnN
_space_group_name_H-M_alt 'R -3 m'
_space_group_IT_number 166
_space_group_name_Hall '-R 3 2"'
_cell_length_a 3.7112
_cell_length_b 3.7112
_cell_length_c 17.0401
_cell_angle_alpha 90.00
_cell_angle_beta 90.00
_cell_angle_gamma 120.00
loop_
_atom_site_label
_atom_site_fract_x
_atom_site_fract_y
_atom_site_fract_z
Sn1 0.0000 0.0000 0.0868
N1 0.0000 0.0000 0.2213


Entry 2:
# PBE-GGA YTe2P2, optimized geometry
# Formation energy from raw total energies, meV per atom: -172
# Relative energy among the computed polymorphs, eV/atom: 0.000
# Energy, eV/cell: -48.9
data_YTe2P2
_space_group_name_H-M_alt 'I 4/m m m'
_space_group_IT_number 139
_space_group_name_Hall '-I 4 2'
_cell_length_a 3.691
_cell_length_b 3.691
_cell_length_c 18.388
_cell_angle_alpha 90.00
_cell_angle_beta 90.00
_cell_angle_gamma 90.00
loop_
_atom_site_label
_atom_site_fract_x
_atom_site_fract_y
_atom_site_fract_z
Y1 0.000 0.000 0.000
Te1 0.000 0.000 0.407
P1 0.000 0.500 0.250


The lowest energy belongs to which entry? SnN